Record 1
VASP calculation (PBE) on a relaxed structure of Ga2FePt.

a b c (Å): 6.2081 6.2081 6.2081
angles (deg): 90.00 90.00 90.00
Last column: nearest neighbours and their distance in Å.
Atoms (fractional coordinates):
Ga 0.0000 0.0000 0.0000  4 Ga 2.69, 4 Pt 2.69
Ga 0.0000 0.5000 0.5000  4 Ga 2.69, 4 Pt 2.69
Ga 0.2500 0.2500 0.2500  4 Fe 2.69, 4 Ga 2.69
Ga 0.2500 0.7500 0.7500  4 Fe 2.69, 4 Ga 2.69
Ga 0.5000 0.0000 0.5000  4 Ga 2.69, 4 Pt 2.69
Ga 0.5000 0.5000 0.0000  4 Ga 2.69, 4 Pt 2.69
Ga 0.7500 0.2500 0.7500  4 Fe 2.69, 4 Ga 2.69
Ga 0.7500 0.7500 0.2500  4 Fe 2.69, 4 Ga 2.69
Fe 0.0000 0.0000 0.5000  4 Pt 2.69, 4 Ga 2.69
Fe 0.0000 0.5000 0.0000  4 Pt 2.69, 4 Ga 2.69
Fe 0.5000 0.0000 0.0000  4 Pt 2.69, 4 Ga 2.69
Fe 0.5000 0.5000 0.5000  4 Pt 2.69, 4 Ga 2.69
Pt 0.2500 0.2500 0.7500  4 Fe 2.69, 4 Ga 2.69
Pt 0.2500 0.7500 0.2500  4 Fe 2.69, 4 Ga 2.69
Pt 0.7500 0.2500 0.2500  4 Fe 2.69, 4 Ga 2.69
Pt 0.7500 0.7500 0.7500  4 Ga 2.69, 4 Fe 2.69

Output
The calculation puts the calculated total energy at -83.20 eV for the cell shown.

***

Record 2
VASP calculation (PBE) on a relaxed structure of ScGaFePt.

a b c (Å): 6.2216 6.2216 6.2216
angles (deg): 90.00 90.00 90.00
Last column: nearest neighbours and their distance in Å.
Atoms (fractional coordinates):
Sc 0.0000 0.0000 0.0000  4 Pt 2.69, 4 Fe 2.69
Sc 0.0000 0.5000 0.5000  4 Pt 2.69, 4 Fe 2.69
Sc 0.5000 0.0000 0.5000  4 Pt 2.69, 4 Fe 2.69
Sc 0.5000 0.5000 0.0000  4 Pt 2.69, 4 Fe 2.69
Ga 0.0000 0.0000 0.5000  4 Fe 2.69, 4 Pt 2.69
Ga 0.0000 0.5000 0.0000  4 Fe 2.69, 4 Pt 2.69
Ga 0.5000 0.0000 0.0000  4 Fe 2.69, 4 Pt 2.69
Ga 0.5000 0.5000 0.5000  4 Fe 2.69, 4 Pt 2.69
Fe 0.2500 0.2500 0.7500  4 Sc 2.69, 4 Ga 2.69
Fe 0.2500 0.7500 0.2500  4 Sc 2.69, 4 Ga 2.69
Fe 0.7500 0.2500 0.2500  4 Sc 2.69, 4 Ga 2.69
Fe 0.7500 0.7500 0.7500  4 Sc 2.69, 4 Ga 2.69
Pt 0.2500 0.2500 0.2500  4 Ga 2.69, 4 Sc 2.69
Pt 0.2500 0.7500 0.7500  4 Sc 2.69, 4 Ga 2.69
Pt 0.7500 0.2500 0.7500  4 Sc 2.69, 4 Ga 2.69
Pt 0.7500 0.7500 0.2500  4 Sc 2.69, 4 Ga 2.69

Output
For the excess energy over the best structure of this formula in the dataset, the calculation gives 0 kJ/mol of formula units. The calculation puts the calculated total energy at -103.87 eV for the cell shown.

***

Record 3
VASP calculation (PBE) on a relaxed structure of ScGaFePt.

a b c (Å): 6.3471 6.3471 6.3471
angles (deg): 90.00 90.00 90.00
Last column: nearest neighbours and their distance in Å.
Atoms (fractional coordinates):
Sc 0.0000 0.0000 0.0000  4 Ga 2.75, 4 Pt 2.75
Sc 0.0000 0.5000 0.5000  4 Pt 2.75, 4 Ga 2.75
Sc 0.5000 0.0000 0.5000  4 Pt 2.75, 4 Ga 2.75
Sc 0.5000 0.5000 0.0000  4 Ga 2.75, 4 Pt 2.75
Ga 0.2500 0.2500 0.2500  4 Fe 2.75, 4 Sc 2.75
Ga 0.2500 0.7500 0.7500  4 Fe 2.75, 4 Sc 2.75
Ga 0.7500 0.2500 0.7500  4 Fe 2.75, 4 Sc 2.75
Ga 0.7500 0.7500 0.2500  4 Fe 2.75, 4 Sc 2.75
Fe 0.0000 0.0000 0.5000  4 Pt 2.75, 4 Ga 2.75
Fe 0.0000 0.5000 0.0000  4 Pt 2.75, 4 Ga 2.75
Fe 0.5000 0.0000 0.0000  4 Pt 2.75, 4 Ga 2.75
Fe 0.5000 0.5000 0.5000  4 Pt 2.75, 4 Ga 2.75
Pt 0.2500 0.2500 0.7500  4 Fe 2.75, 4 Sc 2.75
Pt 0.2500 0.7500 0.2500  4 Fe 2.75, 4 Sc 2.75
Pt 0.7500 0.2500 0.2500  4 Fe 2.75, 4 Sc 2.75
Pt 0.7500 0.7500 0.7500  4 Fe 2.75, 4 Sc 2.75

Output
For the excess energy over the best structure of this formula in the dataset, the calculation gives 49 kJ/mol of formula units. The calculation puts the calculated total energy at -101.85 eV for the cell shown.

***

Record 4
VASP calculation (PBE) on a relaxed structure of TaGaFePt.

a b c (Å): 6.2527 6.2527 6.2527
angles (deg): 90.00 90.00 90.00
Last column: nearest neighbours and their distance in Å.
Atoms (fractional coordinates):
Ta 0.0000 0.0000 0.0000  4 Pt 2.71, 4 Ga 2.71
Ta 0.0000 0.5000 0.5000  4 Pt 2.71, 4 Ga 2.71
Ta 0.5000 0.0000 0.5000  4 Pt 2.71, 4 Ga 2.71
Ta 0.5000 0.5000 0.0000  4 Pt 2.71, 4 Ga 2.71
Ga 0.2500 0.2500 0.2500  4 Ta 2.71, 4 Fe 2.71
Ga 0.2500 0.7500 0.7500  4 Ta 2.71, 4 Fe 2.71
Ga 0.7500 0.2500 0.7500  4 Ta 2.71, 4 Fe 2.71
Ga 0.7500 0.7500 0.2500  4 Ta 2.71, 4 Fe 2.71
Fe 0.0000 0.0000 0.5000  4 Pt 2.71, 4 Ga 2.71
Fe 0.0000 0.5000 0.0000  4 Pt 2.71, 4 Ga 2.71
Fe 0.5000 0.0000 0.0000  4 Pt 2.71, 4 Ga 2.71
Fe 0.5000 0.5000 0.5000  4 Pt 2.71, 4 Ga 2.71
Pt 0.2500 0.2500 0.7500  4 Ta 2.71, 4 Fe 2.71
Pt 0.2500 0.7500 0.2500  4 Ta 2.71, 4 Fe 2.71
Pt 0.7500 0.2500 0.2500  4 Ta 2.71, 4 Fe 2.71
Pt 0.7500 0.7500 0.7500  4 Ta 2.71, 4 Fe 2.71

Output
For the excess energy over the best structure of this formula in the dataset, the calculation gives 71 kJ/mol of formula units. The calculation puts the calculated total energy at -119.40 eV for the cell shown.

***

Record 5
VASP calculation (PBE) on a relaxed structure of GaFePtW.

a b c (Å): 6.1619 6.1619 6.1619
angles (deg): 90.00 90.00 90.00
Last column: nearest neighbours and their distance in Å.
Atoms (fractional coordinates):
Ga 0.0000 0.0000 0.0000  4 Pt 2.67, 4 Fe 2.67
Ga 0.0000 0.5000 0.5000  4 Pt 2.67, 4 Fe 2.67
Ga 0.5000 0.0000 0.5000  4 Pt 2.67, 4 Fe 2.67
Ga 0.5000 0.5000 0.0000  4 Pt 2.67, 4 Fe 2.67
Fe 0.2500 0.2500 0.2500  4 W 2.67, 4 Ga 2.67
Fe 0.2500 0.7500 0.7500  4 W 2.67, 4 Ga 2.67
Fe 0.7500 0.2500 0.7500  4 W 2.67, 4 Ga 2.67
Fe 0.7500 0.7500 0.2500  4 W 2.67, 4 Ga 2.67
Pt 0.2500 0.2500 0.7500  4 W 2.67, 4 Ga 2.67
Pt 0.2500 0.7500 0.2500  4 W 2.67, 4 Ga 2.67
Pt 0.7500 0.2500 0.2500  4 W 2.67, 4 Ga 2.67
Pt 0.7500 0.7500 0.7500  4 W 2.67, 4 Ga 2.67
W 0.0000 0.0000 0.5000  4 Fe 2.67, 4 Pt 2.67
W 0.0000 0.5000 0.0000  4 Fe 2.67, 4 Pt 2.67
W 0.5000 0.0000 0.0000  4 Fe 2.67, 4 Pt 2.67
W 0.5000 0.5000 0.5000  4 Fe 2.67, 4 Pt 2.67

Output
For the excess energy over the best structure of this formula in the dataset, the calculation gives 0 kJ/mol of formula units. The calculation puts the calculated total energy at -120.73 eV for the cell shown.

***

Record 6
VASP calculation (PBE) on a relaxed structure of GaFePtW.

a b c (Å): 6.1665 6.1665 6.1665
angles (deg): 90.00 90.00 90.00
Last column: nearest neighbours and their distance in Å.
Atoms (fractional coordinates):
Ga 0.0000 0.0000 0.0000  4 Fe 2.67, 4 W 2.67
Ga 0.0000 0.5000 0.5000  4 W 2.67, 4 Fe 2.67
Ga 0.5000 0.0000 0.5000  4 W 2.67, 4 Fe 2.67
Ga 0.5000 0.5000 0.0000  4 W 2.67, 4 Fe 2.67
Fe 0.2500 0.2500 0.2500  4 Pt 2.67, 4 Ga 2.67
Fe 0.2500 0.7500 0.7500  4 Pt 2.67, 4 Ga 2.67
Fe 0.7500 0.2500 0.7500  4 Pt 2.67, 4 Ga 2.67
Fe 0.7500 0.7500 0.2500  4 Pt 2.67, 4 Ga 2.67
Pt 0.0000 0.0000 0.5000  4 W 2.67, 4 Fe 2.67
Pt 0.0000 0.5000 0.0000  4 W 2.67, 4 Fe 2.67
Pt 0.5000 0.0000 0.0000  4 W 2.67, 4 Fe 2.67
Pt 0.5000 0.5000 0.5000  4 W 2.67, 4 Fe 2.67
W 0.2500 0.2500 0.7500  4 Pt 2.67, 4 Ga 2.67
W 0.2500 0.7500 0.2500  4 Pt 2.67, 4 Ga 2.67
W 0.7500 0.2500 0.2500  4 Pt 2.67, 4 Ga 2.67
W 0.7500 0.7500 0.7500  4 Pt 2.67, 4 Ga 2.67

Output
For the excess energy over the best structure of this formula in the dataset, the calculation gives 23 kJ/mol of formula units. The calculation puts the calculated total energy at -119.76 eV for the cell shown.

***

Record 7
VASP calculation (PBE) on a relaxed structure of YGaFePt.

a b c (Å): 6.5186 6.5186 6.5186
angles (deg): 90.00 90.00 90.00
Last column: nearest neighbours and their distance in Å.
Atoms (fractional coordinates):
Y 0.0000 0.0000 0.0000  4 Fe 2.82, 4 Pt 2.82
Y 0.0000 0.5000 0.5000  4 Fe 2.82, 4 Pt 2.82
Y 0.5000 0.0000 0.5000  4 Fe 2.82, 4 Pt 2.82
Y 0.5000 0.5000 0.0000  4 Fe 2.82, 4 Pt 2.82
Ga 0.0000 0.0000 0.5000  4 Fe 2.82, 4 Pt 2.82
Ga 0.0000 0.5000 0.0000  4 Fe 2.82, 4 Pt 2.82
Ga 0.5000 0.0000 0.0000  4 Fe 2.82, 4 Pt 2.82
Ga 0.5000 0.5000 0.5000  4 Fe 2.82, 4 Pt 2.82
Fe 0.2500 0.2500 0.7500  4 Y 2.82, 4 Ga 2.82
Fe 0.2500 0.7500 0.2500  4 Y 2.82, 4 Ga 2.82
Fe 0.7500 0.2500 0.2500  4 Y 2.82, 4 Ga 2.82
Fe 0.7500 0.7500 0.7500  4 Y 2.82, 4 Ga 2.82
Pt 0.2500 0.2500 0.2500  4 Y 2.82, 4 Ga 2.82
Pt 0.2500 0.7500 0.7500  4 Y 2.82, 4 Ga 2.82
Pt 0.7500 0.2500 0.7500  4 Y 2.82, 4 Ga 2.82
Pt 0.7500 0.7500 0.2500  4 Y 2.82, 4 Ga 2.82

Output
For the excess energy over the best structure of this formula in the dataset, the calculation gives 0 kJ/mol of formula units. The calculation puts the calculated total energy at -101.64 eV for the cell shown.

***

Record 8
VASP calculation (PBE) on a relaxed structure of YGaFePt.

a b c (Å): 6.6180 6.6180 6.6180
angles (deg): 90.00 90.00 90.00
Last column: nearest neighbours and their distance in Å.
Atoms (fractional coordinates):
Y 0.0000 0.0000 0.0000  4 Pt 2.87, 4 Ga 2.87
Y 0.0000 0.5000 0.5000  4 Pt 2.87, 4 Ga 2.87
Y 0.5000 0.0000 0.5000  4 Pt 2.87, 4 Ga 2.87
Y 0.5000 0.5000 0.0000  4 Pt 2.87, 4 Ga 2.87
Ga 0.2500 0.2500 0.2500  4 Fe 2.87, 4 Y 2.87
Ga 0.2500 0.7500 0.7500  4 Fe 2.87, 4 Y 2.87
Ga 0.7500 0.2500 0.7500  4 Fe 2.87, 4 Y 2.87
Ga 0.7500 0.7500 0.2500  4 Fe 2.87, 4 Y 2.87
Fe 0.0000 0.0000 0.5000  4 Pt 2.87, 4 Ga 2.87
Fe 0.0000 0.5000 0.0000  4 Pt 2.87, 4 Ga 2.87
Fe 0.5000 0.0000 0.0000  4 Pt 2.87, 4 Ga 2.87
Fe 0.5000 0.5000 0.5000  4 Ga 2.87, 4 Pt 2.87
Pt 0.2500 0.2500 0.7500  4 Fe 2.87, 4 Y 2.87
Pt 0.2500 0.7500 0.2500  4 Fe 2.87, 4 Y 2.87
Pt 0.7500 0.2500 0.2500  4 Fe 2.87, 4 Y 2.87
Pt 0.7500 0.7500 0.7500  4 Fe 2.87, 4 Y 2.87

Output
For the excess energy over the best structure of this formula in the dataset, the calculation gives 26 kJ/mol of formula units. The calculation puts the calculated total energy at -100.56 eV for the cell shown.

***

Q: Look up the calculated total energy of the sixth one.
A: -119.76 eV for the cell shown